Entry from the Alexandria database: crystalline LaZrZn4 at its relaxed geometry (GGA-PBE).

Results
The relative energy among the computed polymorphs is 0 meV per atom. Its formation energy is -0.3179 eV/atom. As for the density: 6.64 g/cm³. As for the total energy: -3.413 eV/atom.

Lattice parameters (Å, degrees): 4.4007 4.4003 7.3376 90.01 90.01 120.00
Atoms (fractional coordinates):
La (0.0041, 0.4995, 0.4981)
Zr (0.0039, 0.4994, 0.9981)
Zn (0.6708, 0.8329, 0.1970)
Zn (0.3373, 0.1659, 0.7993)
Zn (0.6706, 0.8326, 0.7993)
Zn (0.3374, 0.1663, 0.1970)

=====

Entry from the Alexandria database: crystalline LaZrZn3 at its relaxed geometry (GGA-PBE).

Results
The relative energy among the computed polymorphs is 840 meV per atom. Its formation energy is 1.1683 eV/atom. As for the density: 4.96 g/cm³. As for the total energy: -2.291 eV/atom.

Lattice parameters (Å, degrees): 5.2271 5.2271 5.2271 90.00 90.00 90.00
Each line ends with the local moment (μB).
Atoms (fractional coordinates):
Zn (0.0000, 0.5000, 0.0000)  0.00
Zn (0.0000, 0.0000, 0.5000)  0.00
Zn (0.5000, 0.0000, 0.0000)  0.03
Zr (0.5000, 0.5000, 0.5000)  -0.01
La (0.0000, 0.0000, 0.0000)  0.06

=====

Entry from the Alexandria database: crystalline LaZrZn2 at its relaxed geometry (GGA-PBE).

Results
The relative energy among the computed polymorphs is 243 meV per atom. Its formation energy is 0.0011 eV/atom. As for the density: 6.78 g/cm³. As for the total energy: -4.005 eV/atom.

Lattice parameters (Å, degrees): 5.6583 5.6583 5.6583 135.28 135.28 65.10
Atoms (fractional coordinates):
La (0.7500, 0.2500, 0.5000)
Zn (0.0000, 0.0000, 0.0000)
Zn (0.2500, 0.7500, 0.5000)
Zr (0.5000, 0.5000, 0.0000)

=====

Question: The highest relative energy among the computed polymorphs belongs to which entry?
Answer: LaZrZn3

=====

Question: Which value of relative energy among the computed polymorphs does entry 2 give?
Answer: 840 meV per atom

=====

Question: Which value of relative energy among the computed polymorphs does entry 2 give?
Answer: 840 meV per atom

=====

Question: What is the formula in the first record?
Answer: LaZrZn4